1.
11
Lattice="3.765 0.000 -1.082 -0.607 5.859 -2.112 0.061 0.531 7.301" Properties=species:S:1:pos:R:3 comment="V2IrPt8 (PBE-GGA, optimized geometry)" magmom_total_mub_per_cell=0.0 final_energy_ev_per_atom=-7.171 rho_g_cm3=18.55 delta_e_f_mev_per_atom=-314 dos_ef_per_ev_cell=10.1 pbc="T T T"
V 0.466 4.050 1.622
V 2.752 2.340 2.485
Ir 1.883 0.000 -0.541
Pt 1.989 2.769 -0.169
Pt 1.182 0.860 4.112
Pt 0.445 1.380 1.547
Pt -0.262 4.349 -0.913
Pt 2.774 5.009 2.559
Pt 2.036 5.530 -0.006
Pt 1.229 3.621 4.276
Pt 3.481 2.041 5.019



2.
7
Lattice="-2.838 2.341 1.193 -1.771 -1.327 -1.608 -3.417 -4.940 7.838" Properties=species:S:1:pos:R:3 comment="V3Ir2Pt2 (PBE-GGA, optimized geometry)" magmom_total_mub_per_cell=0.0 final_energy_ev_per_atom=-8.547 rho_g_cm3=15.03 delta_e_f_mev_per_atom=-381 dos_ef_per_ev_cell=9.1 pbc="T T T"
V -3.445 0.482 3.396
V 0.000 0.000 0.000
V -2.809 -3.081 5.634
Ir -4.898 -1.915 4.646
Ir -3.128 -2.011 2.776
Pt -5.443 -3.583 6.623
Pt -2.582 -0.343 0.799



3.
24
Lattice="-0.065 -3.891 -0.572 1.755 1.397 -9.704 8.495 -0.896 5.123" Properties=species:S:1:pos:R:3 comment="V9Ir4Pt11 (PBE-GGA, optimized geometry)" magmom_total_mub_per_cell=0.0 final_energy_ev_per_atom=-7.947 rho_g_cm3=15.41 delta_e_f_mev_per_atom=-282 dos_ef_per_ev_cell=26.8 pbc="T T T"
V 2.199 -1.182 -5.737
V 7.985 -2.208 0.584
V 5.564 -2.327 1.666
V 4.620 -1.063 -6.819
V 9.440 -1.685 -3.144
V 0.744 -1.705 -2.010
V 8.400 -1.331 -5.432
V 1.784 -2.059 0.278
V 5.092 -1.695 -2.577
Ir 7.287 -1.847 -1.796
Ir 2.897 -1.543 -3.357
Ir 5.955 -1.394 -4.724
Ir 4.229 -1.996 -0.429
Pt 8.955 -0.004 -0.998
Pt 1.294 0.505 -3.583
Pt 6.685 0.769 -5.993
Pt 3.564 -0.268 1.412
Pt 4.046 0.618 -4.664
Pt 6.204 -0.117 0.083
Pt 2.885 1.012 -7.217
Pt 7.364 -0.511 2.636
Pt 0.000 0.000 0.000
Pt 7.676 0.375 -3.431
Pt 2.574 0.126 -1.150



4.
10
Lattice="-1.253 7.090 1.378 -0.756 -1.520 7.132 2.715 0.407 0.374" Properties=species:S:1:pos:R:3 comment="V2IrPt2 (PBE-GGA, optimized geometry)" magmom_total_mub_per_cell=0.0 final_energy_ev_per_atom=-8.124 rho_g_cm3=15.26 delta_e_f_mev_per_atom=-288 dos_ef_per_ev_cell=9.7 pbc="T T T"
Ir 0.000 0.000 0.000
Ir -1.005 2.785 4.255
Pt -1.124 1.310 6.728
Pt -1.567 5.224 5.683
Pt -0.885 4.261 1.782
Pt -0.442 0.346 2.827
V 0.635 0.399 5.213
V -0.110 3.705 7.021
V 0.071 5.578 3.672
V 0.816 2.272 1.863